# Ce2Ni4GeAs3

An optimized crystal structure of Ce2Ni4GeAs3 (PBE, Alexandria).

Results
DFT total energy = -6.176 eV per atom
crystal system = tetragonal

```
data_Ce2Ni4GeAs3
_chemical_formula_sum 'Ce2 Ni4 Ge1 As3'
_symmetry_space_group_name_H-M 'P -4 m 2'
_symmetry_Int_Tables_number 115
_symmetry_space_group_name_Hall 'P -4 -2'
_cell_length_a 4.177
_cell_length_b 4.177
_cell_length_c 9.454
_cell_angle_alpha 90.00
_cell_angle_beta 90.00
_cell_angle_gamma 90.00
loop_
_atom_site_label
_atom_site_fract_x
_atom_site_fract_y
_atom_site_fract_z
Ce1 0.000 0.500 0.246
Ni1 0.000 0.000 0.000
Ni2 0.000 0.500 0.622
Ni3 0.500 0.500 0.000
Ge1 0.000 0.000 0.500
As1 0.000 0.500 0.870
As2 0.500 0.500 0.500
```